[1]
TePt2Br | Alexandria | PBE | relaxed; E_form (uncorrected) = 0.6137 eV/atom; offset from the most stable computed form = 0.830 eV/atom; crystal system = cubic; energy = -3.610 eV/atom; volume = 80.0 Å³/cell
1.0
-4.4042 -1.9411 -0.4782
-0.5351 -4.2657 -2.2162
-1.2055 -3.9217 2.5615
Te Br Pt
1 1 2
Direct
0.7500 0.7500 0.7500
0.5000 0.5000 0.5000
0.0000 0.0000 0.0000
0.2500 0.2500 0.2500

***

[2]
ThICl3 | Alexandria | PBE | relaxed; E_form (uncorrected) = -1.8465 eV/atom; offset from the most stable computed form = 0.013 eV/atom; crystal system = orthorhombic; energy = -4.748 eV/atom; volume = 420.0 Å³/cell
1.0
6.6386 -0.0003 -0.0001
0.0001 8.0260 -0.0004
0.0000 0.0023 7.8817
Th I Cl
2 2 6
Direct
0.1725 0.6709 0.7008
0.6724 0.6819 0.2008
0.3981 0.3515 0.7008
0.8980 0.0012 0.2007
0.4557 0.4178 0.2007
0.4260 0.8113 0.9448
0.9258 0.5415 0.4448
0.9560 0.9351 0.7007
0.9259 0.5415 0.9569
0.4259 0.8112 0.4568

***

[3]
LiZrSc2O | Alexandria | PBE | relaxed; E_form (uncorrected) = -1.0251 eV/atom; crystal system = tetragonal; energy = -6.642 eV/atom; volume = 88.3 Å³/cell
1.0
-0.9877 1.8912 3.8685
2.3347 -3.0998 2.1115
3.7032 2.5756 -0.3136
Sc O Zr Li
2 1 1 1
Direct
0.0000 0.5000 0.0000
0.5000 0.0000 0.0000
0.0000 0.0000 0.0000
0.0000 0.0000 0.5000
0.5000 0.5000 0.5000

***

[4]
La4Tl5Sn2 | Alexandria | PBE | relaxed; energy of formation = -0.44 eV/atom; crystal system = monoclinic; energy = -4.038 eV/atom; volume = 348.1 Å³/cell
1.0
-1.3555 -0.0508 -4.1998
2.0320 -7.9705 -0.5593
-8.8770 -2.1201 2.8907
La Tl Sn
4 5 2
Direct
0.5000 0.7674 0.5996
0.5000 0.2138 0.8670
0.5000 0.2326 0.4004
0.5000 0.7862 0.1330
0.0000 0.5368 0.3370
0.0000 0.1363 0.1269
0.0000 0.5000 0.0000
0.0000 0.8637 0.8731
0.0000 0.4632 0.6630
0.0000 0.0930 0.6308
0.0000 0.9070 0.3692

***

[5]
AcHo2Sb | Alexandria | PBE | relaxed; E_form (uncorrected) = -0.3597 eV/atom; offset from the most stable computed form = 0.089 eV/atom; crystal system = trigonal; energy = -4.706 eV/atom; volume = 140.1 Å³/cell
1.0
4.0511 0.0000 0.0000
2.0256 3.5084 0.0000
2.0256 1.1695 9.8591
Sb Ac Ho
1 1 2
Direct
0.0000 0.0000 0.0000
0.5000 0.5000 0.5000
0.2694 0.2694 0.1917
0.7306 0.7306 0.8083

***

[6]
CdIn2Br | Alexandria | PBE | relaxed; E_form (uncorrected) = -0.1540 eV/atom; offset from the most stable computed form = 0.057 eV/atom; crystal system = orthorhombic; energy = -2.170 eV/atom; volume = 113.2 Å³/cell
1.0
-2.6515 4.4617 3.6163
-4.6764 3.2162 -2.7933
2.0239 -5.6597 1.9716
Cd Br In
1 1 2
Direct
0.2500 0.7500 0.5000
0.7500 0.2500 0.5000
0.0021 0.0021 0.0000
0.4979 0.4979 0.0000

***

[7]
HoNiH3 | Alexandria | PBE | relaxed; crystal system = monoclinic; energy = -4.487 eV/atom; volume = 184.0 Å³/cell
1.0
-5.5356 3.7071 -2.2214
4.1622 -2.6401 -3.6934
-2.8450 -4.3193 -0.1186
Ho Ni H
4 4 12
Direct
0.3728 0.7474 0.2500
0.6272 0.2526 0.7500
0.1272 0.2526 0.7500
0.8728 0.7474 0.2500
0.6410 0.7814 0.7503
0.3590 0.2186 0.2497
0.8590 0.2186 0.2503
0.1410 0.7814 0.7497
0.7500 0.0000 0.0002
0.2500 0.0000 0.9998
0.7500 0.0000 0.5002
0.2500 0.0000 0.4998
0.3791 0.7576 0.7500
0.6209 0.2424 0.2500
0.1209 0.2424 0.2500
0.8791 0.7576 0.7500
0.0165 0.5345 0.2490
0.9835 0.4655 0.7510
0.4835 0.4655 0.7490
0.5165 0.5345 0.2510

***

[8]
Ti12Nb6Zn | Alexandria | PBE | relaxed; energy of formation = 0.25 eV/atom; crystal system = trigonal; energy = -7.983 eV/atom; volume = 340.8 Å³/cell
1.0
7.5636 -1.0172 -2.6419
-3.3830 6.8409 -2.6419
-0.7302 -1.0172 7.9784
Ti Nb Zn
12 6 1
Direct
0.7905 0.2095 0.5000
0.4077 0.1709 0.4077
0.4077 0.4077 0.1709
0.8291 0.5923 0.5923
0.5923 0.5923 0.8291
0.5923 0.8291 0.5923
0.5000 0.7905 0.2095
0.2095 0.5000 0.7905
0.2095 0.7905 0.5000
0.5000 0.2095 0.7905
0.7905 0.5000 0.2095
0.1709 0.4077 0.4077
0.9689 0.6289 0.9689
0.9689 0.9689 0.6289
0.6289 0.9689 0.9689
0.0311 0.0311 0.3711
0.0311 0.3711 0.0311
0.3711 0.0311 0.0311
0.0000 0.0000 0.0000

***

[9]
CeNd4Sn4 | Alexandria | PBE | relaxed; energy of formation = -0.42 eV/atom; crystal system = tetragonal; energy = -4.977 eV/atom; volume = 616.6 Å³/cell
1.0
-4.1281 -2.9472 3.9048
6.4363 0.7507 7.3710
-3.8516 8.6798 2.4792
Ce Nd Sn
2 8 8
Direct
0.0000 0.0000 0.0000
0.5000 0.5000 0.5000
0.3805 0.3047 0.9121
0.8805 0.5879 0.8047
0.3805 0.6953 0.0879
0.1195 0.1953 0.5879
0.6195 0.9121 0.6953
0.1195 0.8047 0.4121
0.8805 0.4121 0.1953
0.6195 0.0879 0.3047
0.6225 0.7773 0.3838
0.6225 0.2227 0.6162
0.1225 0.8838 0.7227
0.8775 0.2773 0.8838
0.8775 0.7227 0.1162
0.3775 0.3838 0.2227
0.3775 0.6162 0.7773
0.1225 0.1162 0.2773

***

[10]
LaPaSe2O | Alexandria | PBE | relaxed; E_form (uncorrected) = -2.2225 eV/atom; crystal system = tetragonal; energy = -7.493 eV/atom; volume = 235.4 Å³/cell
1.0
4.0739 0.0000 0.0000
0.0000 4.0739 0.0000
0.0000 0.0000 14.1822
La Pa Se O
2 2 4 2
Direct
0.5000 0.0000 0.5872
0.0000 0.5000 0.4128
0.5000 0.0000 0.1026
0.0000 0.5000 0.8974
0.0000 0.5000 0.7055
0.0000 0.5000 0.1095
0.5000 0.0000 0.8905
0.5000 0.0000 0.2945
0.0000 0.0000 0.5000
0.5000 0.5000 0.5000

***

[11]
TiZnCo2S | Alexandria | PBE | relaxed; E_form (uncorrected) = -0.0484 eV/atom; crystal system = tetragonal; energy = -5.550 eV/atom; volume = 75.2 Å³/cell
1.0
4.1143 0.0000 0.0000
0.0000 4.4413 0.0000
0.0000 0.0000 4.1143
Zn Co S Ti
1 2 1 1
Direct
0.5000 0.5000 0.5000
0.0000 0.0000 0.5000
0.5000 0.0000 0.0000
0.0000 0.0000 0.0000
0.0000 0.5000 0.0000

***

[12]
K3DyPu3S8 | Alexandria | PBE | relaxed; E_form (uncorrected) = -1.5881 eV/atom; crystal system = monoclinic; energy = -7.182 eV/atom; volume = 434.6 Å³/cell
1.0
-1.1499 6.8134 -4.2076
-6.2890 -3.6950 3.5129
1.0940 4.1162 6.3664
K Dy Pu S
3 1 3 8
Direct
0.0000 0.0000 0.0000
0.0000 0.5000 0.0000
0.5000 0.5000 0.0000
0.0000 0.0000 0.5000
0.5000 0.0000 0.5000
0.5000 0.5000 0.5000
0.0000 0.5000 0.5000
0.1667 0.3334 0.6976
0.8333 0.6666 0.3024
0.6700 0.3399 0.6893
0.3300 0.6601 0.3107
0.3315 0.1690 0.3087
0.6685 0.8310 0.6913
0.8375 0.1690 0.3087
0.1625 0.8310 0.6913

***

[13]
Th2MnSe2Cl4 | Alexandria | PBE | relaxed; E_form (uncorrected) = -1.2409 eV/atom; crystal system = trigonal; energy = -5.504 eV/atom; volume = 259.3 Å³/cell
1.0
3.6546 0.0000 0.0000
-1.8273 3.1649 0.0000
0.0000 0.0000 22.4196
Th Mn Se Cl
2 1 2 4
Direct
0.0000 0.0000 0.9888
0.6667 0.3333 0.6445
0.0000 0.0000 0.3256
0.6667 0.3333 0.3908
0.6667 0.3333 0.2604
0.0000 0.0000 0.5562
0.6667 0.3333 0.0774
0.6667 0.3333 0.8999
0.0000 0.0000 0.7335

***

[14]
Th2Co5B3 | Alexandria | PBE | relaxed; energy of formation = -0.34 eV/atom; crystal system = orthorhombic; energy = -7.379 eV/atom; volume = 258.3 Å³/cell
1.0
-0.1086 2.5414 4.6036
-6.4427 3.9453 0.6745
-4.6379 -3.5376 4.8481
Th Co B
4 10 6
Direct
0.1314 0.6266 0.1106
0.6314 0.1106 0.6266
0.8686 0.3734 0.8894
0.3686 0.8894 0.3734
0.3942 0.2204 0.9911
0.8942 0.9911 0.2204
0.6058 0.7796 0.0089
0.1058 0.0089 0.7796
0.5303 0.7197 0.7197
0.4697 0.2803 0.2803
0.7500 0.5000 0.5000
0.2500 0.5000 0.5000
0.9697 0.2803 0.2803
0.0303 0.7197 0.7197
0.3895 0.4915 0.7295
0.8895 0.7295 0.4915
0.6105 0.5085 0.2705
0.1105 0.2705 0.5085
0.2500 0.0000 0.0000
0.7500 0.0000 0.0000

***

[15]
SrEuHg2 | Alexandria | PBE | relaxed; energy of formation = -0.54 eV/atom; crystal system = tetragonal; energy = -3.679 eV/atom; volume = 122.7 Å³/cell
1.0
3.9051 0.0000 0.0000
0.0000 5.6059 0.0000
0.0000 0.0000 5.6059
Eu Sr Hg
1 1 2
Direct
0.5000 0.5000 0.5000
0.5000 0.0000 0.0000
0.0000 0.0000 0.5000
0.0000 0.5000 0.0000